(1)
First-principles (PBE-GGA) data for a relaxed structure of Y2ErCdO, as listed in Alexandria via LeMat-Bulk.

Cell and atoms, written as POSCAR:
```
Y2ErCdO
1.0
4.8068 0.0000 0.0000
0.0000 4.8068 0.0000
0.0000 0.0000 4.7368
Y Er Cd O
2 1 1 1
Cartesian
0.0000 2.4034 0.0000
2.4034 0.0000 0.0000
0.0000 0.0000 2.3684
2.4034 2.4034 2.3684
0.0000 0.0000 0.0000
```

The value obtained for the calculated total energy is -6.003 eV per atom. The formation energy (no corrections) comes out at -1.330 eV/atom.

=====

(2)
First-principles (PBE-GGA) data for a relaxed structure of YSbAs2, as listed in Alexandria via LeMat-Bulk.

Cell and atoms, written as POSCAR:
```
YSbAs2
1.0
4.2710 0.0000 0.0000
0.0000 4.0427 0.0000
-1.8192 0.0000 5.8194
Y Sb As
1 1 2
Cartesian
0.0000 0.0000 0.0000
1.2259 0.0000 2.9097
-0.0668 2.0213 4.6001
2.5186 2.0213 1.2193
```

The value obtained for the calculated total energy is -5.514 eV per atom. The formation energy (no corrections) comes out at -0.542 eV/atom.

=====

(3)
First-principles (PBE-GGA) data for a relaxed structure of DyInSnI6, as listed in Alexandria via LeMat-Bulk.

Cell and atoms, written as POSCAR:
```
DyInSnI6
1.0
8.0082 0.0000 0.0000
-4.0041 6.9353 0.0000
0.0000 0.0000 15.1307
Dy In Sn I
2 2 2 12
Cartesian
0.0000 4.6235 3.7827
4.0041 2.3118 11.3481
0.0000 0.0000 0.0000
0.0000 0.0000 7.5654
0.0000 4.6235 11.3481
4.0041 2.3118 3.7827
-1.3556 2.5481 2.0099
-2.4752 4.4873 5.5555
1.3556 2.5481 5.5555
-1.1196 6.8353 2.0099
2.8845 0.1000 9.5752
1.5289 2.4480 13.1209
2.4752 4.4873 2.0099
1.1196 6.8353 5.5555
5.1237 0.1000 13.1209
2.6485 4.3872 9.5752
6.4793 2.4480 9.5752
5.3597 4.3872 13.1209
```

The value obtained for the calculated total energy is -3.184 eV per atom. The formation energy (no corrections) comes out at -0.890 eV/atom.

=====

(4)
First-principles (PBE-GGA) data for a relaxed structure of TcPOsO2, as listed in Alexandria via LeMat-Bulk.

Cell and atoms, written as POSCAR:
```
TcPOsO2
1.0
3.6745 0.0000 0.0000
0.0000 3.6745 0.0000
0.0000 0.0000 5.5264
Tc P Os O
1 1 1 2
Cartesian
0.0000 0.0000 0.0000
0.0000 0.0000 2.7632
1.8373 1.8373 2.7632
0.0000 1.8373 0.0000
1.8373 0.0000 0.0000
```

The value obtained for the calculated total energy is -7.325 eV per atom. The formation energy (no corrections) comes out at 0.060 eV/atom. For the relative energy among the computed polymorphs, the calculation gives 40.0 meV/atom.

=====

(5)
First-principles (PBE-GGA) data for a relaxed structure of LaTbMgCu, as listed in Alexandria via LeMat-Bulk.

Cell and atoms, written as POSCAR:
```
LaTbMgCu
1.0
0.0000 3.7343 3.7343
3.7343 0.0000 3.7343
3.7343 3.7343 0.0000
La Tb Mg Cu
1 1 1 1
Cartesian
0.0000 0.0000 0.0000
3.7343 3.7343 3.7343
1.8671 1.8671 1.8671
5.6014 5.6014 5.6014
```

The value obtained for the calculated total energy is -3.853 eV per atom. Its formation energy is -40 meV/atom.

=====

(6)
First-principles (PBE-GGA) data for a relaxed structure of Pr2SmDyBi5, as listed in Alexandria via LeMat-Bulk.

Cell and atoms, written as POSCAR:
```
Pr2SmDyBi5
1.0
5.5250 0.0000 0.0000
0.0000 5.5250 0.0000
0.0000 0.0000 11.9723
Pr Sm Dy Bi
2 1 1 5
Cartesian
0.0000 0.0000 2.6781
0.0000 0.0000 9.2941
2.7625 2.7625 0.0000
2.7625 2.7625 5.9861
0.0000 0.0000 5.9861
0.0000 2.7625 0.0000
2.7625 0.0000 0.0000
2.7625 2.7625 3.0644
2.7625 2.7625 8.9079
```

The value obtained for the calculated total energy is -4.339 eV per atom. Its formation energy is -85 meV/atom.

=====

(7)
First-principles (PBE-GGA) data for a relaxed structure of TbPm5Se8, as listed in Alexandria via LeMat-Bulk.

Cell and atoms, written as POSCAR:
```
TbPm5Se8
1.0
-4.5112 4.5112 4.3342
4.5112 -4.5112 4.3342
4.5112 4.5112 -4.3342
Tb Pm Se
1 5 8
Cartesian
0.0000 0.0000 0.0000
2.2734 3.1356 -1.0875
5.8868 2.2734 1.0875
2.2378 1.3756 3.2467
0.0000 4.5112 2.1671
-1.3756 2.2378 5.4218
2.8904 0.5906 0.4654
5.1362 2.9427 -1.7014
3.9206 -1.6208 3.8688
-0.6250 1.5685 2.6328
0.5906 6.1320 -0.4654
2.9427 3.8862 1.7014
1.5685 0.6250 6.0356
1.6208 3.9206 4.7996
```

The value obtained for the calculated total energy is -5.862 eV per atom. The formation energy (no corrections) comes out at -1.843 eV/atom.

=====

(8)
First-principles (PBE-GGA) data for a relaxed structure of Ba3Hg3Bi2, as listed in Alexandria via LeMat-Bulk.

Cell and atoms, written as POSCAR:
```
Ba3Hg3Bi2
1.0
2.4808 -6.7311 0.0000
2.4808 6.7311 0.0000
0.0000 0.0000 18.7590
Ba Hg Bi
6 6 4
Cartesian
2.4808 5.4021 14.0692
2.4808 1.8387 10.9390
2.4808 1.8387 17.1995
2.4808 -1.8387 1.5595
2.4808 -1.8387 7.8200
2.4808 -5.4021 4.6897
2.4808 6.1058 10.7004
2.4808 6.1058 17.4380
2.4808 4.5526 4.6897
2.4808 -4.5526 14.0692
2.4808 -6.1058 1.3209
2.4808 -6.1058 8.0586
2.4808 2.3452 2.1886
2.4808 2.3452 7.1909
2.4808 -2.3452 11.5681
2.4808 -2.3452 16.5704
```

The value obtained for the calculated total energy is -2.448 eV per atom. Its formation energy is -643 meV/atom.

=====

(9)
First-principles (PBE-GGA) data for a relaxed structure of USn2PbS6, as listed in Alexandria via LeMat-Bulk.

Cell and atoms, written as POSCAR:
```
USn2PbS6
1.0
3.5685 2.0603 6.2129
-3.5685 2.0603 6.2129
0.0000 -4.1205 6.2129
U Sn Pb S
1 2 1 6
Cartesian
0.0000 0.0000 0.0000
0.0000 0.0000 5.7906
0.0000 0.0000 14.9531
0.0000 0.0000 9.5250
-0.8796 -2.1034 7.5194
-2.6038 -0.2914 10.7684
-1.3818 1.8134 7.5194
1.5543 -2.1092 10.7684
2.2614 0.2900 7.5194
1.0495 2.4007 10.7684
```

The value obtained for the calculated total energy is -5.484 eV per atom. The formation energy (no corrections) comes out at -0.708 eV/atom.

=====

(10)
First-principles (PBE-GGA) data for a relaxed structure of BaSr3Ir, as listed in Alexandria via LeMat-Bulk.

Cell and atoms, written as POSCAR:
```
BaSr3Ir
1.0
4.2863 -7.5517 0.0000
4.2863 7.5517 0.0000
0.0000 0.0000 7.1135
Ba Sr Ir
2 6 2
Cartesian
4.2863 6.2393 3.5567
4.2863 -6.2393 0.0000
2.1693 2.6339 3.3847
4.2863 1.3474 6.7533
2.1693 -2.6339 6.9415
6.4032 2.6339 3.3847
4.2863 -1.3474 3.1965
6.4032 -2.6339 6.9415
4.2863 3.8087 5.1665
4.2863 -3.8087 1.6097
```

The value obtained for the calculated total energy is -3.328 eV per atom. Its formation energy is -162 meV/atom. For the relative energy among the computed polymorphs, the calculation gives 1.5 meV/atom.

=====

(11)
First-principles (PBE-GGA) data for a relaxed structure of Pm4MgCo2, as listed in Alexandria via LeMat-Bulk.

Cell and atoms, written as POSCAR:
```
Pm4MgCo2
1.0
6.9927 0.0000 0.0000
-0.4339 7.2831 0.0000
-1.5951 -1.3556 7.2834
Pm Mg Co
8 2 4
Cartesian
0.0000 0.0000 0.0000
-0.5635 2.2478 2.7822
2.5228 2.8191 0.3207
2.2140 -0.1209 4.6920
3.1746 6.3820 0.7502
3.0177 3.4709 3.7262
4.4354 2.2975 6.6369
5.1714 6.4252 3.5725
0.5522 5.1245 2.0986
0.0084 4.1312 5.3026
1.4650 0.5145 2.2098
3.7508 1.2294 2.4894
4.8476 1.5814 0.3853
4.7738 4.2649 1.6954
```

The value obtained for the calculated total energy is -4.973 eV per atom. Its formation energy is 0 meV/atom. For the relative energy among the computed polymorphs, the calculation gives 0.0 meV/atom.

=====

(12)
First-principles (PBE-GGA) data for a relaxed structure of Ho8Tm6Pb, as listed in Alexandria via LeMat-Bulk.

Cell and atoms, written as POSCAR:
```
Ho8Tm6Pb
1.0
9.0734 0.0000 0.0000
-4.5367 7.8578 0.0000
0.0000 0.0000 6.6942
Ho Tm Pb
8 6 1
Cartesian
-1.3488 2.6026 0.7469
-1.6084 7.7247 0.7469
1.5795 2.4694 5.9474
0.0000 5.2386 5.3617
4.5367 2.6193 1.3325
2.9573 5.3884 0.7469
6.1452 0.1332 5.9474
5.8855 5.2553 5.9474
-2.3888 5.3463 2.6490
1.1011 3.1159 2.6490
3.2490 0.6043 4.0452
1.2877 7.2535 2.6490
3.4356 4.7419 4.0452
6.9256 2.5116 4.0452
0.0000 0.0000 3.3471
```

The value obtained for the calculated total energy is -4.288 eV per atom. Its formation energy is 189 meV/atom.

=====

(13)
First-principles (PBE-GGA) data for a relaxed structure of BeZnTe, as listed in Alexandria via LeMat-Bulk.

Cell and atoms, written as POSCAR:
```
BeZnTe
1.0
-1.5527 1.5527 6.1864
1.5527 -1.5527 6.1864
1.5527 1.5527 -6.1864
Be Zn Te
1 1 1
Cartesian
0.0000 0.0000 0.0000
0.0000 0.0000 5.4107
0.0000 0.0000 8.6085
```

The value obtained for the calculated total energy is -2.243 eV per atom. The formation energy (no corrections) comes out at 0.470 eV/atom. For the relative energy among the computed polymorphs, the calculation gives 417.1 meV/atom.

=====

(14)
First-principles (PBE-GGA) data for a relaxed structure of HoTm15Sc4, as listed in Alexandria via LeMat-Bulk.

Cell and atoms, written as POSCAR:
```
HoTm15Sc4
1.0
4.8722 0.0000 0.0000
0.0000 4.8722 0.0000
0.0000 0.0000 24.3749
Ho Tm Sc
1 15 4
Cartesian
0.0000 0.0000 0.0000
0.0000 2.4361 2.5033
0.0000 2.4361 7.3442
0.0000 2.4361 12.1875
0.0000 2.4361 17.0308
0.0000 2.4361 21.8716
2.4361 0.0000 2.5033
2.4361 0.0000 7.3442
2.4361 0.0000 12.1875
2.4361 0.0000 17.0308
2.4361 0.0000 21.8716
2.4361 2.4361 0.0000
2.4361 2.4361 4.9308
2.4361 2.4361 9.7652
2.4361 2.4361 14.6097
2.4361 2.4361 19.4442
0.0000 0.0000 4.9175
0.0000 0.0000 9.7658
0.0000 0.0000 14.6091
0.0000 0.0000 19.4575
```

The value obtained for the calculated total energy is -4.807 eV per atom. Its formation energy is 42 meV/atom.

=====

(15)
First-principles (PBE-GGA) data for a relaxed structure of Ti2AgHAu, as listed in Alexandria via LeMat-Bulk.

Cell and atoms, written as POSCAR:
```
Ti2AgHAu
1.0
4.0332 0.0000 0.0000
0.0000 4.0332 0.0000
0.0000 0.0000 4.2945
Ti Ag H Au
2 1 1 1
Cartesian
0.0000 2.0166 0.0000
2.0166 0.0000 0.0000
0.0000 0.0000 2.1473
2.0166 2.0166 0.0000
2.0166 2.0166 2.1473
```

The value obtained for the calculated total energy is -5.186 eV per atom. For the relative energy among the computed polymorphs, the calculation gives 53.8 meV/atom.

=====

(16)
First-principles (PBE-GGA) data for a relaxed structure of La2BiSbO8, as listed in Alexandria via LeMat-Bulk.

Cell and atoms, written as POSCAR:
```
La2BiSbO8
1.0
3.5837 -3.7919 0.0000
3.5837 3.7919 0.0000
-0.0354 0.0000 6.9300
La Bi Sb O
2 1 1 8
Cartesian
0.2208 0.0000 1.7763
6.9113 0.0000 5.1537
3.5837 0.0000 0.0000
3.5660 0.0000 3.4650
1.4727 0.0000 6.7561
1.6037 0.0000 3.6632
3.3976 1.3256 1.8367
3.7345 1.3256 5.0933
3.3976 -1.3256 1.8367
3.7345 -1.3256 5.0933
5.5284 0.0000 3.2668
5.6594 0.0000 0.1739
```

The value obtained for the calculated total energy is -6.844 eV per atom. The formation energy (no corrections) comes out at -2.051 eV/atom.

=====

(17)
First-principles (PBE-GGA) data for a relaxed structure of MgSc4Al5, as listed in Alexandria via LeMat-Bulk.

Cell and atoms, written as POSCAR:
```
MgSc4Al5
1.0
3.2240 0.0000 0.0000
0.0000 3.2240 0.0000
0.0000 0.0000 18.5212
Mg Sc Al
1 4 5
Cartesian
0.0000 0.0000 0.0000
0.0000 0.0000 3.6532
0.0000 0.0000 7.3980
0.0000 0.0000 11.1233
0.0000 0.0000 14.8680
1.6120 1.6120 1.7956
1.6120 1.6120 5.5225
1.6120 1.6120 9.2606
1.6120 1.6120 12.9988
1.6120 1.6120 16.7256
```

The value obtained for the calculated total energy is -4.916 eV per atom. Its formation energy is -352 meV/atom.

=====

(18)
First-principles (PBE-GGA) data for a relaxed structure of Tl5Sn2Pb4, as listed in Alexandria via LeMat-Bulk.

Cell and atoms, written as POSCAR:
```
Tl5Sn2Pb4
1.0
3.5546 0.0000 0.0000
1.6369 9.1975 0.0000
0.0054 0.8718 10.3291
Tl Sn Pb
5 2 4
Cartesian
0.0000 0.0000 0.0000
1.7463 3.2311 8.4962
1.7531 1.0726 2.8728
3.4438 8.9967 7.4563
3.4507 6.8382 1.8329
1.7252 4.5197 3.7770
3.4717 5.5496 6.5520
1.6683 7.7300 4.7065
1.6932 6.5401 9.3002
3.5038 3.5291 1.0289
3.5287 2.3393 5.6226
```

The value obtained for the calculated total energy is -3.145 eV per atom. Its formation energy is 6 meV/atom.

=====

(19)
First-principles (PBE-GGA) data for a relaxed structure of LaPm5Si2, as listed in Alexandria via LeMat-Bulk.

Cell and atoms, written as POSCAR:
```
LaPm5Si2
1.0
-2.2870 4.7295 5.5173
2.2870 -4.7295 5.5173
2.2870 4.7295 -5.5173
La Pm Si
1 5 2
Cartesian
0.0000 0.0000 0.0000
2.2870 2.9555 -1.7823
2.2870 2.9555 1.7823
0.0000 4.7295 0.0000
0.0000 1.7740 3.7351
0.0000 1.7740 7.2996
2.2870 0.0000 2.3643
0.0000 4.7295 3.1530
```

The value obtained for the calculated total energy is -5.216 eV per atom. The formation energy (no corrections) comes out at -0.275 eV/atom.

=====

(20)
First-principles (PBE-GGA) data for a relaxed structure of CaPr2Sm, as listed in Alexandria via LeMat-Bulk.

Cell and atoms, written as POSCAR:
```
CaPr2Sm
1.0
0.0000 4.1814 4.1814
4.1814 0.0000 4.1814
4.1814 4.1814 0.0000
Ca Pr Sm
1 2 1
Cartesian
0.0000 0.0000 0.0000
2.0907 2.0907 2.0907
6.2721 6.2721 6.2721
4.1814 4.1814 4.1814
```

The value obtained for the calculated total energy is -3.952 eV per atom. Its formation energy is 118 meV/atom. For the relative energy among the computed polymorphs, the calculation gives 91.6 meV/atom.